Record 1
ReSbTe2F | PBE | optimized geometry

Cell lengths 5.1951, 5.1951, 5.2370 Å; angles 90.00, 90.00, 90.00 degrees
Atoms (fractional coordinates):
Re 0.0000 0.0000 0.0000
Sb 0.0000 0.0000 0.5000
Te 0.0000 0.5000 0.0000
Te 0.5000 0.0000 0.0000
F 0.5000 0.5000 0.5000

Electronic total energy (eV per atom): -4.610
Energy above the lowest structure with this stoichiometry (eV per formula unit): 0.000
Crystal system: tetragonal
Formation energy from raw total energies (eV/atom): 0.335
Space group: P4/mmm

Record 2
ReSbTe2F | PBE | optimized geometry

Cell lengths 4.9960, 4.9960, 4.4524 Å; angles 90.00, 90.00, 90.00 degrees
Atoms (fractional coordinates):
Re 0.0000 0.0000 0.0000
Sb 0.5000 0.5000 0.0000
Te 0.0000 0.5000 0.5000
Te 0.5000 0.0000 0.5000
F 0.5000 0.5000 0.5000

Electronic total energy (eV per atom): -4.068
Energy above the lowest structure with this stoichiometry (eV per formula unit): 2.713
Crystal system: tetragonal
Formation energy from raw total energies (eV/atom): 0.877
Space group: P4/mmm

Record 3
ReSb2TeF | PBE | optimized geometry

Cell lengths 4.6220, 4.6220, 5.1665 Å; angles 90.00, 90.00, 90.00 degrees
Atoms (fractional coordinates):
Re 0.0000 0.0000 0.0000
Sb 0.0000 0.5000 0.5000
Sb 0.5000 0.0000 0.5000
Te 0.5000 0.5000 0.0000
F 0.5000 0.5000 0.5000

Electronic total energy (eV per atom): -4.393
Energy above the lowest structure with this stoichiometry (eV per formula unit): 2.240
Crystal system: tetragonal
Formation energy from raw total energies (eV/atom): 0.749
Space group: P4/mmm

Record 4
ZrRe2SbF | PBE | optimized geometry

Cell lengths 4.8944, 4.8944, 5.5017 Å; angles 90.00, 90.00, 90.00 degrees
Atoms (fractional coordinates):
Zr 0.0000 0.0000 0.0000
Re 0.0000 0.5000 0.5000
Re 0.5000 0.0000 0.5000
Sb 0.0000 0.0000 0.5000
F 0.5000 0.5000 0.0000

Electronic total energy (eV per atom): -5.998
Crystal system: tetragonal
Formation energy from raw total energies (eV/atom): 1.890
Space group: P4/mmm

Record 5
Sc2ReF | PBE | optimized geometry

Cell lengths 4.5464, 4.5464, 4.5464 Å; angles 60.00, 60.00, 60.00 degrees
Atoms (fractional coordinates):
Sc 0.2500 0.2500 0.2500
Sc 0.7500 0.7500 0.7500
Re 0.0000 0.0000 0.0000
F 0.5000 0.5000 0.5000

Electronic total energy (eV per atom): -7.166
Energy above the lowest structure with this stoichiometry (eV per formula unit): 2.637
Crystal system: cubic
Formation energy from raw total energies (eV/atom): -0.421
Space group: Fm-3m

Record 6
ScReF2 | PBE | optimized geometry

Cell lengths 9.1514, 9.1514, 9.1514 Å; angles 17.87, 17.87, 17.87 degrees
Atoms (fractional coordinates):
Sc 0.0000 0.0000 0.0000
Re 0.5000 0.5000 0.5000
F 0.0706 0.0706 0.0706
F 0.9294 0.9294 0.9294

Electronic total energy (eV per atom): -6.416
Energy above the lowest structure with this stoichiometry (eV per formula unit): 2.436
Crystal system: trigonal
Formation energy from raw total energies (eV/atom): -0.786
Space group: R-3m

Record 7
Sc3ReF | PBE | optimized geometry

Cell lengths 4.3849, 4.3849, 4.3849 Å; angles 90.00, 90.00, 90.00 degrees
Atoms (fractional coordinates):
Sc 0.0000 0.0000 0.5000
Sc 0.0000 0.5000 0.0000
Sc 0.5000 0.0000 0.0000
Re 0.5000 0.5000 0.5000
F 0.0000 0.0000 0.0000

Electronic total energy (eV per atom): -7.439
Energy above the lowest structure with this stoichiometry (eV per formula unit): 0.000
Crystal system: cubic
Formation energy from raw total energies (eV/atom): -0.776
Space group: Pm-3m

Record 8
Sc2ReF | PBE | optimized geometry

Cell lengths 8.2307, 8.2307, 8.2307 Å; angles 23.01, 23.01, 23.01 degrees
Atoms (fractional coordinates):
Sc 0.0862 0.0862 0.0862
Sc 0.9138 0.9138 0.9138
Re 0.5000 0.5000 0.5000
F 0.0000 0.0000 0.0000

Electronic total energy (eV per atom): -7.826
Energy above the lowest structure with this stoichiometry (eV per formula unit): 0.000
Crystal system: trigonal
Formation energy from raw total energies (eV/atom): -1.080
Space group: R-3m

- formation energy from raw total energies of number 2 (ReSbTe2F)?
  0.877 eV/atom